1.
A geometry-optimized Tb2YBi structure. Source: Alexandria, functional GGA-PBE.

Properties
**Formation energy from the elements**: -0.1764 eV per atom
**E above lowest polymorph**: 0.226 eV/atom

Cell and atoms, written as CIF:
```
data_Tb2YBi
_cell_length_a 4.0617
_cell_length_b 4.0617
_cell_length_c 28.7005
_cell_angle_alpha 90.00
_cell_angle_beta 90.00
_cell_angle_gamma 120.00
_space_group_name_H-M_alt 'R 3 m'
_space_group_IT_number 160
_space_group_name_Hall 'R 3 -2"'
loop_
_atom_site_label
_atom_site_fract_x
_atom_site_fract_y
_atom_site_fract_z
_atom_site_occupancy
Tb1 0.0000 0.0000 0.0000 1
Tb2 0.0000 0.0000 0.1931 1
Y1 0.0000 0.0000 0.7630 1
Bi1 0.0000 0.0000 0.5969 1
```

---

2.
A geometry-optimized TbY2Bi structure. Source: Alexandria, functional GGA-PBE.

Properties
**Formation energy from the elements**: -0.1897 eV per atom
**E above lowest polymorph**: 0.229 eV/atom

Cell and atoms, written as CIF:
```
data_TbY2Bi
_cell_length_a 4.0550
_cell_length_b 4.0550
_cell_length_c 28.6057
_cell_angle_alpha 90.00
_cell_angle_beta 90.00
_cell_angle_gamma 120.00
_space_group_name_H-M_alt 'R 3 m'
_space_group_IT_number 160
_space_group_name_Hall 'R 3 -2"'
loop_
_atom_site_label
_atom_site_fract_x
_atom_site_fract_y
_atom_site_fract_z
_atom_site_occupancy
Tb1 0.0000 0.0000 0.0000 1
Y1 0.0000 0.0000 0.2371 1
Y2 0.0000 0.0000 0.4304 1
Bi1 0.0000 0.0000 0.8342 1
```

---

3.
A geometry-optimized Tb2YBi structure. Source: Alexandria, functional GGA-PBE.

Properties
**Formation energy from the elements**: -0.4021 eV per atom
**E above lowest polymorph**: 0.000 eV/atom

Cell and atoms, written as CIF:
```
data_Tb2YBi
_cell_length_a 4.165
_cell_length_b 12.399
_cell_length_c 9.784
_cell_angle_alpha 90.00
_cell_angle_beta 90.00
_cell_angle_gamma 90.00
_space_group_name_H-M_alt 'C m c m'
_space_group_IT_number 63
_space_group_name_Hall '-C 2c 2'
loop_
_atom_site_label
_atom_site_fract_x
_atom_site_fract_y
_atom_site_fract_z
_atom_site_occupancy
Tb1 0.000 0.134 0.045 1
Y1 0.000 0.442 0.250 1
Bi1 0.000 0.259 0.750 1
```

---

4.
A geometry-optimized TbY2Bi4 structure. Source: Alexandria, functional GGA-PBE.

Properties
**Formation energy from the elements**: -0.6207 eV per atom

Cell and atoms, written as CIF:
```
data_TbY2Bi4
_cell_length_a 4.501
_cell_length_b 11.333
_cell_length_c 17.138
_cell_angle_alpha 90.00
_cell_angle_beta 90.00
_cell_angle_gamma 90.00
_space_group_name_H-M_alt 'C m c m'
_space_group_IT_number 63
_space_group_name_Hall '-C 2c 2'
loop_
_atom_site_label
_atom_site_fract_x
_atom_site_fract_y
_atom_site_fract_z
_atom_site_occupancy
Tb1 0.000 0.055 0.250 1
Y1 0.000 0.339 0.075 1
Bi1 0.000 0.000 0.000 1
Bi2 0.000 0.346 0.250 1
Bi3 0.000 0.353 0.622 1
```

---

Record order is preserved below.
Magnetization: 0.18, 0.17, 0.00, 0.00 μB per atom